! PBE+U VAu2F, optimized geometry; values from VASP
&SYSTEM
  ibrav = 0, nat = 4, ntyp = 3
/
ATOMIC_SPECIES
V 50.94 V.upf
Au 196.97 Au.upf
F 19.00 F.upf
CELL_PARAMETERS angstrom
0.000 3.203 3.203
3.203 0.000 3.203
3.203 3.203 0.000
ATOMIC_POSITIONS angstrom
V 0.000 0.000 0.000
Au 1.601 1.601 1.601
Au 4.804 4.804 4.804
F 3.203 3.203 3.203
! * offset from the most stable computed form: 227 meV/atom
! * D(E_F): 1.06 states/eV/f.u.
! * DFT total energy: -4.003 eV/atom